# 1
Cd2TcRu: optimized geometry, GGA-PBE.

## Properties
- excess energy over the best structure of this formula in the dataset (meV/atom) = 379
- energy relative to the elements (eV/atom) = 0.48
- calculated volume (Å³/atom) = 16.9
- theoretical density (Mg/m³) = 10.43
- total energy (eV per atom) = -4.888

```
Cd2TcRu
1.0
1.430 0.826 9.530
-1.430 0.826 9.530
0.000 -1.651 9.530
Cd Tc Ru
2 1 1
Direct
0.249 0.249 0.249 Cd
0.751 0.751 0.751 Cd
0.000 0.000 0.000 Tc
0.500 0.500 0.500 Ru
```

---

# 2
Cd4TcRu: optimized geometry, GGA-PBE.

## Properties
- energy relative to the elements (eV/atom) = 0.70
- calculated volume (Å³/atom) = 19.1
- theoretical density (Mg/m³) = 9.41
- total energy (eV per atom) = -3.187

```
Cd4TcRu
1.0
0.000 3.853 3.853
3.853 0.000 3.853
3.853 3.853 0.000
Cd Tc Ru
4 1 1
Direct
0.125 0.125 0.125 Cd
0.125 0.125 0.625 Cd
0.125 0.625 0.125 Cd
0.625 0.125 0.125 Cd
0.500 0.500 0.500 Tc
0.750 0.750 0.750 Ru
```

---

# 3
Cd2TcRu: optimized geometry, GGA-PBE.

## Properties
- excess energy over the best structure of this formula in the dataset (meV/atom) = 372
- energy relative to the elements (eV/atom) = 0.47
- calculated volume (Å³/atom) = 16.9
- theoretical density (Mg/m³) = 10.41
- total energy (eV per atom) = -4.895

```
Cd2TcRu
1.0
0.000 3.233 3.233
3.233 0.000 3.233
3.233 3.233 0.000
Cd Tc Ru
2 1 1
Direct
0.000 0.000 0.000 Cd
0.250 0.250 0.250 Cd
0.750 0.750 0.750 Tc
0.500 0.500 0.500 Ru
```

---

# 4
Cd2TcRu: optimized geometry, GGA-PBE.

## Properties
- excess energy over the best structure of this formula in the dataset (meV/atom) = 73
- energy relative to the elements (eV/atom) = 0.17
- calculated volume (Å³/atom) = 17.6
- theoretical density (Mg/m³) = 10.01
- total energy (eV per atom) = -5.194

```
Cd2TcRu
1.0
1.431 0.826 9.908
-1.431 0.826 9.908
0.000 -1.652 9.908
Cd Tc Ru
2 1 1
Direct
0.000 0.000 0.000 Cd
0.234 0.234 0.234 Cd
0.483 0.483 0.483 Tc
0.750 0.750 0.750 Ru
```

---

# 5
CdTcRu: optimized geometry, GGA-PBE.

## Properties
- excess energy over the best structure of this formula in the dataset (meV/atom) = 594
- energy relative to the elements (eV/atom) = 0.69
- calculated volume (Å³/atom) = 18.6
- theoretical density (Mg/m³) = 9.26
- total energy (eV per atom) = -6.160

```
CdTcRu
1.0
0.000 3.034 3.034
3.034 0.000 3.034
3.034 3.034 0.000
Cd Tc Ru
1 1 1
Direct
0.000 0.000 0.000 Cd
0.500 0.500 0.500 Tc
0.250 0.250 0.250 Ru
```

---

# 6
Cd2TcRu: optimized geometry, GGA-PBE.

## Properties
- excess energy over the best structure of this formula in the dataset (meV/atom) = 416
- energy relative to the elements (eV/atom) = 0.52
- calculated volume (Å³/atom) = 17.1
- theoretical density (Mg/m³) = 10.31
- total energy (eV per atom) = -4.851

```
Cd2TcRu
1.0
1.584 -2.282 0.000
1.584 2.282 0.000
0.000 0.000 9.446
Cd Tc Ru
2 1 1
Direct
0.000 0.000 0.247 Cd
0.000 0.000 0.753 Cd
0.500 0.500 0.500 Tc
0.500 0.500 0.000 Ru
```

---

# 7
Cd2TcRu: optimized geometry, GGA-PBE.

## Properties
- excess energy over the best structure of this formula in the dataset (meV/atom) = 547
- energy relative to the elements (eV/atom) = 0.65
- calculated volume (Å³/atom) = 17.4
- theoretical density (Mg/m³) = 10.12
- total energy (eV per atom) = -4.720

```
Cd2TcRu
1.0
0.000 3.264 3.264
3.264 0.000 3.264
3.264 3.264 0.000
Cd Tc Ru
2 1 1
Direct
0.250 0.250 0.250 Cd
0.750 0.750 0.750 Cd
0.000 0.000 0.000 Tc
0.500 0.500 0.500 Ru
```

---

# 8
Cd2TcRu: optimized geometry, GGA-PBE.

## Properties
- excess energy over the best structure of this formula in the dataset (meV/atom) = 880
- energy relative to the elements (eV/atom) = 0.98
- calculated volume (Å³/atom) = 18.9
- theoretical density (Mg/m³) = 9.31
- total energy (eV per atom) = -4.387

```
Cd2TcRu
1.0
-3.789 3.789 2.635
3.789 -3.789 2.635
3.789 3.789 -2.635
Cd Tc Ru
4 2 2
Direct
0.119 0.125 0.494 Cd
0.375 0.881 0.006 Cd
0.631 0.625 0.506 Cd
0.875 0.369 0.994 Cd
0.250 0.750 0.500 Tc
0.500 0.500 0.000 Tc
0.000 0.000 0.000 Ru
0.750 0.250 0.500 Ru
```